The following is a DFT calculation (PBE) of a geometry-optimized ZrGa2Sn2 structure.

The space group is I4/mmm (No. 139) and the conventional cell measures 3.8405, 3.8405 and 15.4549 Å, with angles of 90.00, 90.00 and 90.00 degrees. The distinct sites, in fractional coordinates, are Zr at (0.0000, 0.0000, 0.0000), Ga at (0.0000, 0.5000, 0.2500) and Sn at (0.0000, 0.0000, 0.4030).

For the energy, the calculation gives -45.26 eV per cell.

The following is a DFT calculation (PBE) of a geometry-optimized ZrGaSn structure.

The space group is F-43m (No. 216) and the conventional cell measures 6.7200, 6.7200 and 6.7200 Å, with angles of 90.00, 90.00 and 90.00 degrees. The distinct sites, in fractional coordinates, are Zr at (0.0000, 0.0000, 0.0000), Ga at (0.2500, 0.2500, 0.7500) and Sn at (0.2500, 0.2500, 0.2500).

Its distance to the lowest polymorph of the same formula is 0 meV per atom.